# Pm2Si3Pt

An optimized crystal structure of Pm2Si3Pt (GGA-PBE, Alexandria).

* energy relative to the elements, uncorrected: -1.01 eV/atom
* E_tot: -37.869 eV per formula unit
* crystal system: orthorhombic

Cell lengths 8.209, 8.506, 14.224 Å; angles 90.00, 90.00, 90.00 degrees
Space group Fmmm (No. 69)
Symmetry-distinct sites (fractional):
1 Pm 0.000 0.245 0.000 x8
2 Pm 0.250 0.250 0.250 x8
3 Si 0.000 0.000 0.166 x8
4 Si 0.250 0.000 0.083 x16
5 Pt 0.000 0.000 0.333 x8

=====

# Pm2Si3Pt2

An optimized crystal structure of Pm2Si3Pt2 (GGA-PBE, Alexandria).

* energy relative to the elements, uncorrected: -0.99 eV/atom
* E_tot: -44.749 eV per formula unit
* crystal system: orthorhombic

Cell lengths 4.264, 17.890, 6.974 Å; angles 90.00, 90.00, 90.00 degrees
Space group Cmcm (No. 63)
Symmetry-distinct sites (fractional):
1 Pm 0.000 0.056 0.250 x4
2 Pm 0.000 0.153 0.750 x4
3 Si 0.000 0.226 0.250 x4
4 Si 0.000 0.440 0.072 x8
5 Pt 0.000 0.308 0.547 x8

=====

# Pm4Si2Pt5

An optimized crystal structure of Pm4Si2Pt5 (GGA-PBE, Alexandria).

* energy relative to the elements, uncorrected: -1.07 eV/atom
* E_tot: -71.813 eV per formula unit
* crystal system: monoclinic

Cell lengths 6.798, 4.159, 8.294 Å; angles 90.00, 92.82, 90.00 degrees
Space group P2/m (No. 10)
Symmetry-distinct sites (fractional):
1 Pm 0.229 0.000 0.383 x2
2 Pm 0.258 0.000 0.894 x2
3 Si 0.081 0.500 0.131 x2
4 Pt 0.141 0.500 0.646 x2
5 Pt 0.435 0.500 0.167 x2
6 Pt 0.500 0.500 0.500 x1

=====

# Pm2Si2Pt5

An optimized crystal structure of Pm2Si2Pt5 (GGA-PBE, Alexandria).

* energy relative to the elements, uncorrected: -1.06 eV/atom
* E_tot: -60.060 eV per formula unit
* crystal system: tetragonal

Cell lengths 4.252, 4.252, 9.013 Å; angles 90.00, 90.00, 90.00 degrees
Space group P4/mmm (No. 123)
Symmetry-distinct sites (fractional):
1 Pm 0.000 0.000 0.000 x1
2 Pm 0.000 0.000 0.500 x1
3 Si 0.500 0.500 0.134 x2
4 Pt 0.000 0.500 0.264 x4
5 Pt 0.500 0.500 0.500 x1

=====

# PmSiPt3

An optimized crystal structure of PmSiPt3 (GGA-PBE, Alexandria).

* energy relative to the elements, uncorrected: -0.76 eV/atom
* E_tot: -32.118 eV per formula unit
* crystal system: orthorhombic

Cell lengths 5.762, 6.680, 5.136 Å; angles 90.00, 90.00, 90.00 degrees
Space group Pbam (No. 55)
Symmetry-distinct sites (fractional):
1 Pm 0.000 0.000 0.000 x2
2 Si 0.000 0.500 0.500 x2
3 Pt 0.000 0.500 0.000 x2
4 Pt 0.142 0.173 0.500 x4

=====

# Pm2SiPt5

An optimized crystal structure of Pm2SiPt5 (GGA-PBE, Alexandria).

* energy relative to the elements, uncorrected: -0.97 eV/atom
* E_tot: -52.923 eV per formula unit
* crystal system: tetragonal

Cell lengths 5.927, 5.927, 9.622 Å; angles 90.00, 90.00, 90.00 degrees
Space group I4mm (No. 107)
Symmetry-distinct sites (fractional):
1 Pm 0.000 0.500 0.000 x4
2 Si 0.000 0.000 0.174 x2
3 Pt 0.000 0.000 0.937 x2
4 Pt 0.234 0.234 0.743 x8